The following is a GGA-PBE calculation of a relaxed Sm6DyY3 crystal, from Alexandria via LeMat-Bulk.

Calculated values
Formation energy from the elements, meV per atom: 126.4
Polymorph energy (0 for the lowest one), meV/atom: 0

Cell: 11.725 11.725 6.391 Å, 90.00 90.00 130.33°
Sites, in units of the cell vectors:
Sm 0.017 0.983 0.500
Sm 0.105 0.544 0.992
Sm 0.258 0.378 0.231
Sm 0.300 0.700 0.457
Sm 0.378 0.258 0.731
Sm 0.456 0.895 0.992
Sm 0.544 0.105 0.492
Sm 0.622 0.742 0.231
Sm 0.700 0.300 0.957
Sm 0.742 0.622 0.731
Sm 0.895 0.456 0.492
Sm 0.983 0.017 0.000
Dy 0.161 0.839 0.682
Dy 0.839 0.161 0.182
Y 0.043 0.293 0.660
Y 0.293 0.043 0.160
Y 0.421 0.579 0.753
Y 0.579 0.421 0.253
Y 0.707 0.957 0.660
Y 0.957 0.707 0.160